An optimized crystal structure of LiBMoO4, computed with PBE with a Hubbard U.

Summary:
Crystal system = orthorhombic
Final energy = -7.101 eV per atom
Symmetry = Cmcm

Cell and atoms, written as extended XYZ:
```
14
Lattice="2.647 -3.955 0.000 2.647 3.955 0.000 0.000 0.000 6.325" Properties=species:S:1:pos:R:3 pbc="T T T"
Li 2.647 2.638 4.744
Li 2.647 -2.638 1.581
B 2.647 2.725 1.581
B 2.647 -2.725 4.744
Mo 2.647 0.000 0.000
Mo 2.647 0.000 3.163
O 1.237 0.297 4.744
O 2.647 1.956 0.355
O 2.647 1.956 2.807
O 1.237 -0.297 1.581
O 4.056 0.297 4.744
O 2.647 -1.956 3.518
O 2.647 -1.956 5.970
O 4.056 -0.297 1.581
```